The following is a DFT calculation (PBE) of a geometry-optimized GdPuCd2 structure.

Structure (extended XYZ):
```
4
Lattice="0.0000 3.7779 3.7779 3.7779 0.0000 3.7779 3.7779 3.7779 0.0000" Properties=species:S:1:pos:R:3 pbc="T T T"
Gd 0.0000 0.0000 0.0000
Pu 3.7779 3.7779 3.7779
Cd 1.8889 1.8889 1.8889
Cd 5.6668 5.6668 5.6668
```

Calculated values
Its energy of formation from the pure elements is -12.2 kJ per mole of atoms. The size of the total moment is 13.62 μB/cell. The value obtained for the mass density is 9.6 g/cm3. The space group is Fm-3m (225).


The following is a DFT calculation (PBE) of a geometry-optimized Sm3Dy3PuS8 structure.

Structure (extended XYZ):
```
15
Lattice="3.9455 2.2779 6.4811 -3.9455 2.2779 6.4811 0.0000 -4.5558 6.4811" Properties=species:S:1:pos:R:3 pbc="T T T"
Sm -1.9727 -1.1390 6.4811
Sm -1.9727 1.1390 12.9623
Sm 0.0000 2.2779 6.4811
Dy -3.9454 0.0000 9.7217
Dy -1.9727 1.1390 3.2406
Dy 1.9727 1.1390 3.2406
Pu 0.0000 0.0000 9.7217
S -2.0050 -1.1576 11.3078
S 0.0000 0.0000 4.8024
S 0.0000 -2.3152 8.1356
S -2.0050 1.1576 8.1356
S 2.0050 -1.1576 11.3078
S 0.0000 2.3152 11.3078
S 0.0000 0.0000 14.6410
S 2.0050 1.1576 8.1356
```

Calculated values
The size of the total moment is 6.22 μB/cell. The value obtained for the mass density is 6.8 g/cm3. The space group is R-3m (166). The uncorrected formation energy comes out at -2002 meV/atom.


Ordered DOS(E_F) results: 2.3969, 0.9362; unit states/eV per atom.